[1]
# PBE-GGA Ce2HoTe3, relaxed
data_Ce2HoTe3
_chemical_formula_sum 'Ce8 Ho4 Te12'
_space_group_name_H-M_alt 'P 1'
_space_group_IT_number 1
_cell_length_a 7.695
_cell_length_b 7.695
_cell_length_c 13.984
_cell_angle_alpha 100.64
_cell_angle_beta 100.64
_cell_angle_gamma 109.22
loop_
_space_group_symop_operation_xyz
'x,y,z'
loop_
_atom_site_label
_atom_site_type_symbol
_atom_site_fract_x
_atom_site_fract_y
_atom_site_fract_z
Ce1 Ce 0.999 0.499 0.997
Ho1 Ho 0.083 0.083 0.167
Te1 Te 0.239 0.239 0.000
Ho2 Ho 0.917 0.917 0.833
Te2 Te 0.326 0.834 0.170
Ho3 Ho 0.167 0.667 0.333
Ce2 Ce 0.501 0.001 0.003
Te3 Te 0.586 0.594 0.670
Te4 Te 0.844 0.336 0.170
Te5 Te 0.166 0.674 0.830
Ce3 Ce 0.749 0.749 0.497
Ce4 Ce 0.418 0.418 0.837
Te6 Te 0.664 0.156 0.830
Ce5 Ce 0.832 0.332 0.663
Te7 Te 0.084 0.076 0.670
Te8 Te 0.761 0.761 0.000
Te9 Te 0.011 0.511 0.500
Ho4 Ho 0.333 0.833 0.667
Te10 Te 0.924 0.916 0.330
Ce6 Ce 0.251 0.251 0.503
Ce7 Ce 0.668 0.168 0.337
Te11 Te 0.406 0.414 0.330
Ce8 Ce 0.582 0.582 0.163
Te12 Te 0.489 0.989 0.500
# * DFT total energy: -5.647 eV per atom
# * uncorrected formation energy: -1.3350 eV/atom
# * relative energy among the computed polymorphs: 0 kJ/mol of formula units



[2]
# PBE-GGA SrLa2Nd3Te6, relaxed
data_SrLa2Nd3Te6
_chemical_formula_sum 'Sr1 La2 Nd3 Te6'
_space_group_name_H-M_alt 'P 1'
_space_group_IT_number 1
_cell_length_a 4.539
_cell_length_b 9.165
_cell_length_c 10.193
_cell_angle_alpha 102.97
_cell_angle_beta 102.87
_cell_angle_gamma 90.00
loop_
_space_group_symop_operation_xyz
'x,y,z'
loop_
_atom_site_label
_atom_site_type_symbol
_atom_site_fract_x
_atom_site_fract_y
_atom_site_fract_z
Te1 Te 0.000 0.745 0.000
Te2 Te 0.000 0.255 0.000
Te3 Te 0.664 0.584 0.328
Te4 Te 0.336 0.416 0.672
La1 La 0.169 0.338 0.339
Nd1 Nd 0.834 0.174 0.667
Te5 Te 0.332 0.921 0.663
Sr1 Sr 0.500 0.000 0.000
Nd2 Nd 0.500 0.500 0.000
Nd3 Nd 0.166 0.826 0.333
Te6 Te 0.668 0.079 0.337
La2 La 0.831 0.662 0.661
# * DFT total energy: -5.250 eV per atom
# * uncorrected formation energy: -1.5259 eV/atom



[3]
# PBE-GGA Y2CrP2, relaxed
data_Y2CrP2
_chemical_formula_sum 'Y4 Cr2 P4'
_space_group_name_H-M_alt 'P 1'
_space_group_IT_number 1
_cell_length_a 6.590
_cell_length_b 6.590
_cell_length_c 4.148
_cell_angle_alpha 90.00
_cell_angle_beta 90.00
_cell_angle_gamma 90.00
loop_
_space_group_symop_operation_xyz
'x,y,z'
loop_
_atom_site_label
_atom_site_type_symbol
_atom_site_fract_x
_atom_site_fract_y
_atom_site_fract_z
Y1 Y 0.174 0.674 0.500
Cr1 Cr 0.500 0.500 0.000
Y2 Y 0.826 0.326 0.500
Y3 Y 0.674 0.826 0.500
P1 P 0.862 0.638 0.000
P2 P 0.362 0.862 0.000
P3 P 0.138 0.362 0.000
Cr2 Cr 0.000 0.000 0.000
P4 P 0.638 0.138 0.000
Y4 Y 0.326 0.174 0.500
# * DFT total energy: -7.489 eV per atom



[4]
# PBE-GGA UHCl4, relaxed
data_UHCl4
_chemical_formula_sum 'U1 H1 Cl4'
_space_group_name_H-M_alt 'P 1'
_space_group_IT_number 1
_cell_length_a 6.213
_cell_length_b 6.213
_cell_length_c 5.542
_cell_angle_alpha 124.09
_cell_angle_beta 124.09
_cell_angle_gamma 90.00
loop_
_space_group_symop_operation_xyz
'x,y,z'
loop_
_atom_site_label
_atom_site_type_symbol
_atom_site_fract_x
_atom_site_fract_y
_atom_site_fract_z
Cl1 Cl 0.637 0.603 0.669
Cl2 Cl 0.934 0.363 0.331
Cl3 Cl 0.032 0.066 0.669
H1 H 0.750 0.250 0.500
U1 U 0.500 0.500 0.000
Cl4 Cl 0.397 0.968 0.331
# * DFT total energy: -4.585 eV per atom



[5]
# PBE-GGA NaPmAu, relaxed
data_NaPmAu
_chemical_formula_sum 'Na1 Pm1 Au1'
_space_group_name_H-M_alt 'P 1'
_space_group_IT_number 1
_cell_length_a 4.983
_cell_length_b 4.983
_cell_length_c 4.983
_cell_angle_alpha 60.00
_cell_angle_beta 60.00
_cell_angle_gamma 60.00
loop_
_space_group_symop_operation_xyz
'x,y,z'
loop_
_atom_site_label
_atom_site_type_symbol
_atom_site_fract_x
_atom_site_fract_y
_atom_site_fract_z
Na1 Na 0.500 0.500 0.500
Pm1 Pm 0.000 0.000 0.000
Au1 Au 0.250 0.250 0.250
# * DFT total energy: -3.416 eV per atom
# * relative energy among the computed polymorphs: 4 kJ/mol of formula units



[6]
# PBE-GGA Al6Zn3W, relaxed
data_Al6Zn3W
_chemical_formula_sum 'Al12 Zn6 W2'
_space_group_name_H-M_alt 'P 1'
_space_group_IT_number 1
_cell_length_a 7.311
_cell_length_b 7.311
_cell_length_c 7.311
_cell_angle_alpha 106.99
_cell_angle_beta 106.99
_cell_angle_gamma 106.99
loop_
_space_group_symop_operation_xyz
'x,y,z'
loop_
_atom_site_label
_atom_site_type_symbol
_atom_site_fract_x
_atom_site_fract_y
_atom_site_fract_z
Al1 Al 0.371 0.475 0.808
W1 W 0.000 0.000 0.000
Zn1 Zn 0.780 0.581 0.892
Al2 Al 0.475 0.808 0.371
Zn2 Zn 0.108 0.220 0.419
W2 W 0.500 0.500 0.500
Al3 Al 0.075 0.823 0.280
Al4 Al 0.280 0.075 0.823
Al5 Al 0.177 0.720 0.925
Zn3 Zn 0.419 0.108 0.220
Al6 Al 0.720 0.925 0.177
Al7 Al 0.192 0.629 0.525
Al8 Al 0.629 0.525 0.192
Al9 Al 0.525 0.192 0.629
Al10 Al 0.808 0.371 0.475
Zn4 Zn 0.220 0.419 0.108
Al11 Al 0.925 0.177 0.720
Al12 Al 0.823 0.280 0.075
Zn5 Zn 0.892 0.780 0.581
Zn6 Zn 0.581 0.892 0.780
# * DFT total energy: -3.855 eV per atom



[7]
# PBE-GGA TaCuAs2, relaxed
data_TaCuAs2
_chemical_formula_sum 'Ta1 Cu1 As2'
_space_group_name_H-M_alt 'P 1'
_space_group_IT_number 1
_cell_length_a 5.556
_cell_length_b 5.556
_cell_length_c 3.677
_cell_angle_alpha 89.98
_cell_angle_beta 89.98
_cell_angle_gamma 36.44
loop_
_space_group_symop_operation_xyz
'x,y,z'
loop_
_atom_site_label
_atom_site_type_symbol
_atom_site_fract_x
_atom_site_fract_y
_atom_site_fract_z
Ta1 Ta 0.702 0.702 0.875
Cu1 Cu 0.510 0.510 0.375
As1 As 0.284 0.284 0.375
As2 As 0.004 0.004 0.875
# * DFT total energy: -6.498 eV per atom